[1]
{"formula": "Ba2CdGa3", "functional": "PBE-GGA", "state": "optimized geometry", "relative_energy_ev_per_fu": 0.00, "crystal_system": "orthorhombic", "space_group": "Fmmm", "e_form_ev_per_fu": -2.40, "cell": [[0.0000, 5.0645, 7.9418], [4.6323, 0.0000, 7.9418], [4.6323, 5.0645, 0.0000]], "species": ["Ba", "Ba", "Ba", "Ba", "Cd", "Cd", "Ga", "Ga", "Ga", "Ga", "Ga", "Ga"], "fractional_positions": [[0.2435, 0.7565, 0.2435], [0.2500, 0.2500, 0.2500], [0.7500, 0.7500, 0.7500], [0.7565, 0.2435, 0.7565], [0.1677, 0.1677, 0.8323], [0.8323, 0.8323, 0.1677], [0.1819, 0.6581, 0.8181], [0.3411, 0.3411, 0.6589], [0.3419, 0.8181, 0.6581], [0.6581, 0.1819, 0.3419], [0.6589, 0.6589, 0.3411], [0.8181, 0.3419, 0.1819]]}

***

[2]
{"formula": "Fe2HPtAu", "functional": "PBE-GGA", "state": "optimized geometry", "relative_energy_ev_per_fu": 0.40, "crystal_system": "tetragonal", "space_group": "P4/mmm", "cell": [[3.8736, 0.0000, 0.0000], [0.0000, 3.8736, 0.0000], [0.0000, 0.0000, 4.0414]], "species": ["Fe", "Fe", "H", "Pt", "Au"], "fractional_positions": [[0.0000, 0.5000, 0.0000], [0.5000, 0.0000, 0.0000], [0.0000, 0.0000, 0.0000], [0.5000, 0.5000, 0.5000], [0.0000, 0.0000, 0.5000]]}

***

[3]
{"formula": "AcPaSbO6", "functional": "PBE-GGA", "state": "optimized geometry", "crystal_system": "trigonal", "formation_energy_uncorrected_ev_per_atom": -2.727, "space_group": "P-31c", "cell": [[5.7934, 0.0000, 0.0000], [-2.8967, 5.0173, 0.0000], [0.0000, 0.0000, 10.5467]], "species": ["Ac", "Ac", "Pa", "Pa", "Sb", "Sb", "O", "O", "O", "O", "O", "O", "O", "O", "O", "O", "O", "O"], "fractional_positions": [[0.0000, 0.0000, 0.0000], [0.0000, 0.0000, 0.5000], [0.3333, 0.6667, 0.2500], [0.6667, 0.3333, 0.7500], [0.3333, 0.6667, 0.7500], [0.6667, 0.3333, 0.2500], [0.0070, 0.3639, 0.6419], [0.0070, 0.6431, 0.8581], [0.3569, 0.3639, 0.8581], [0.3569, 0.9930, 0.6419], [0.3639, 0.0070, 0.1419], [0.3639, 0.3569, 0.3581], [0.6361, 0.6431, 0.6419], [0.6361, 0.9930, 0.8581], [0.6431, 0.0070, 0.3581], [0.6431, 0.6361, 0.1419], [0.9930, 0.3569, 0.1419], [0.9930, 0.6361, 0.3581]]}

***

[4]
{"formula": "Li3U3AlSe8", "functional": "PBE-GGA", "state": "optimized geometry", "crystal_system": "trigonal", "formation_energy_uncorrected_ev_per_atom": -1.103, "space_group": "R-3m", "cell": [[4.0161, 2.3187, 6.5136], [-4.0161, 2.3187, 6.5136], [0.0000, -4.6374, 6.5136]], "species": ["Li", "Li", "Li", "U", "U", "U", "Al", "Se", "Se", "Se", "Se", "Se", "Se", "Se", "Se"], "fractional_positions": [[0.0000, 0.5000, 0.5000], [0.5000, 0.0000, 0.5000], [0.5000, 0.5000, 0.0000], [0.0000, 0.0000, 0.5000], [0.0000, 0.5000, 0.0000], [0.5000, 0.0000, 0.0000], [0.5000, 0.5000, 0.5000], [0.2540, 0.2540, 0.2540], [0.2670, 0.2670, 0.7279], [0.2670, 0.7279, 0.2670], [0.2721, 0.7330, 0.7330], [0.7279, 0.2670, 0.2670], [0.7330, 0.2721, 0.7330], [0.7330, 0.7330, 0.2721], [0.7460, 0.7460, 0.7460]]}

***

[5]
{"formula": "Er2ThMgAu4", "functional": "PBE-GGA", "state": "optimized geometry", "crystal_system": "trigonal", "space_group": "R-3m", "e_form_ev_per_fu": -5.84, "cell": [[2.4762, 1.4297, 8.5722], [-2.4762, 1.4297, 8.5722], [0.0000, -2.8593, 8.5722]], "species": ["Er", "Er", "Th", "Mg", "Au", "Au", "Au", "Au"], "fractional_positions": [[0.2407, 0.2407, 0.2407], [0.7593, 0.7593, 0.7593], [0.0000, 0.0000, 0.0000], [0.5000, 0.5000, 0.5000], [0.1233, 0.1233, 0.1233], [0.3869, 0.3869, 0.3869], [0.6131, 0.6131, 0.6131], [0.8767, 0.8767, 0.8767]]}

***

[6]
{"formula": "Ta2MnHW", "functional": "PBE-GGA", "state": "optimized geometry", "crystal_system": "tetragonal", "dft_energy_ev_per_atom": -9.9179, "space_group": "P4/mmm", "cell": [[4.4558, 0.0000, 0.0000], [0.0000, 4.4558, 0.0000], [0.0000, 0.0000, 3.3003]], "species": ["Ta", "Ta", "Mn", "H", "W"], "fractional_positions": [[0.0000, 0.5000, 0.0000], [0.5000, 0.0000, 0.0000], [0.0000, 0.0000, 0.5000], [0.0000, 0.0000, 0.0000], [0.5000, 0.5000, 0.5000]]}

***

no.,total moment (μB/f.u.)
1,0.00
2,6.00
3,0.28
4,7.95
5,0.00
6,0.00